The following is a DFT calculation (PBE-GGA) of a relaxed Cs2TlBPb crystal.

Geometry as POSCAR:
```
Cs2TlBPb
1.0
7.392 0.000 0.000
0.000 7.392 0.000
0.000 0.000 5.839
Cs Tl B Pb
2 1 1 1
Direct
0.000 0.500 0.000
0.500 0.000 0.000
0.000 0.000 0.000
0.500 0.500 0.500
0.000 0.000 0.500
```

Summary:
Theoretical density = 3.58 Mg/m³
ΔH_f (0 K) = 1.09 eV/atom
DOS at the Fermi energy = 0.615 states/eV/atom